Record 1
KPmTl, relaxed, DFT GGA-PBE; final energy = -8.6 eV/f.u.; energy relative to the elements = -0.115 eV/atom
1.0
-1.995 1.995 14.896
1.995 -1.995 14.896
1.995 1.995 -14.896
K Pm Tl
2 2 2
Direct
0.073 0.073 0.000 K
0.927 0.927 0.000 K
0.212 0.212 0.000 Pm
0.788 0.788 0.000 Pm
0.346 0.346 0.000 Tl
0.654 0.654 0.000 Tl

---

Record 2
KPmTl2, relaxed, DFT GGA-PBE; final energy = -10.9 eV/f.u.; energy relative to the elements = -0.067 eV/atom
1.0
1.916 1.106 10.894
-1.916 1.106 10.894
0.000 -2.212 10.894
K Pm Tl
1 1 2
Direct
0.000 0.000 0.000 K
0.500 0.500 0.500 Pm
0.244 0.244 0.244 Tl
0.756 0.756 0.756 Tl

---

Record 3
KPmTl2, relaxed, DFT GGA-PBE; final energy = -11.0 eV/f.u.; energy relative to the elements = -0.110 eV/atom
1.0
0.000 3.989 3.989
3.989 0.000 3.989
3.989 3.989 0.000
K Pm Tl
1 1 2
Direct
0.000 0.000 0.000 K
0.500 0.500 0.500 Pm
0.250 0.250 0.250 Tl
0.750 0.750 0.750 Tl

---

Record 4
KPm4Tl5, relaxed, DFT GGA-PBE; final energy = -35.1 eV/f.u.; energy relative to the elements = -0.320 eV/atom
1.0
3.914 0.000 0.000
0.000 3.914 0.000
0.000 0.000 20.138
K Pm Tl
1 4 5
Direct
0.000 0.000 0.000 K
0.000 0.000 0.212 Pm
0.000 0.000 0.404 Pm
0.000 0.000 0.596 Pm
0.000 0.000 0.788 Pm
0.500 0.500 0.125 Tl
0.500 0.500 0.310 Tl
0.500 0.500 0.500 Tl
0.500 0.500 0.690 Tl
0.500 0.500 0.875 Tl

---

Record 5
KPmTl2, relaxed, DFT GGA-PBE; final energy = -11.4 eV/f.u.; energy relative to the elements = -0.215 eV/atom
1.0
3.944 0.000 0.000
0.000 3.944 0.000
0.000 0.000 8.649
K Pm Tl
1 1 2
Direct
0.000 0.000 0.000 K
0.000 0.000 0.500 Pm
0.500 0.500 0.290 Tl
0.500 0.500 0.710 Tl

---

Record 6
KPm2Tm, relaxed, DFT GGA-PBE; final energy = -14.3 eV/f.u.; energy relative to the elements = 0.201 eV/atom
1.0
1.812 1.046 13.337
-1.812 1.046 13.337
0.000 -2.092 13.337
K Pm Tm
1 2 1
Direct
0.000 0.000 0.000 K
0.096 0.096 0.096 Pm
0.904 0.904 0.904 Pm
0.500 0.500 0.500 Tm

---

Record 7
KPm2Zr, relaxed, DFT GGA-PBE; final energy = -18.1 eV/f.u.; energy relative to the elements = 0.270 eV/atom
1.0
1.762 1.017 12.999
-1.762 1.017 12.999
0.000 -2.034 12.999
K Pm Zr
1 2 1
Direct
0.000 0.000 0.000 K
0.099 0.099 0.099 Pm
0.901 0.901 0.901 Pm
0.500 0.500 0.500 Zr

---

Record 8
KPr4, relaxed, DFT GGA-PBE; final energy = -15.5 eV/f.u.; energy relative to the elements = 0.939 eV/atom
1.0
5.828 0.000 0.000
0.000 5.828 0.000
0.000 0.000 5.828
K Pr
1 4
Direct
0.000 0.000 0.000 K
0.000 0.000 0.500 Pr
0.000 0.500 0.000 Pr
0.500 0.000 0.000 Pr
0.500 0.500 0.500 Pr

---

| no. | theoretical density (g/cm3) |
| --- | --- |
| 1 | 5.439 |
| 2 | 7.107 |
| 3 | 7.753 |
| 4 | 8.832 |
| 5 | 7.316 |
| 6 | 5.452 |
| 7 | 4.994 |
| 8 | 5.057 |